This record from the Alexandria database describes a relaxed structure of Ac5NiTe4. The functional is PBE.

Its mass density is 7.81 g cm⁻³. Its raw total energy is -5.104 eV/atom.

It has space group I4 (No. 79), with a = 10.424 Å, b = 10.424 Å, c = 6.672 Å, α = 90.00°, β = 90.00° and γ = 90.00°. The asymmetric unit holds Ac at (0.000, 0.000, 0.000), Ac at (0.095, 0.270, 0.500), Ni at (0.000, 0.000, 0.500) and Te at (0.087, 0.309, 0.000).

This record from the Alexandria database describes a relaxed structure of Ac3Ni5Te12. The functional is PBE.

Its mass density is 6.95 g cm⁻³. Its raw total energy is -4.484 eV/atom.

It has space group Ia-3d (No. 230), with a = 16.853 Å, b = 16.853 Å, c = 16.853 Å, α = 90.00°, β = 90.00° and γ = 90.00°. The asymmetric unit holds Ac at (0.000, 0.250, 0.125), Ni at (0.000, 0.000, 0.000), Ni at (0.000, 0.250, 0.375) and Te at (0.036, 0.052, 0.644).

This record from the Alexandria database describes a relaxed structure of AcNiTe2. The functional is PBE.

Its mass density is 5.01 g cm⁻³. Its raw total energy is -4.579 eV/atom.

It has space group R-3m (No. 166, hexagonal axes), with a = 5.0327 Å, b = 5.0327 Å, c = 24.5435 Å, α = 90.00°, β = 90.00° and γ = 120.00°. The asymmetric unit holds Ac at (0.0000, 0.0000, 0.0000), Ni at (0.0000, 0.0000, 0.5000) and Te at (0.0000, 0.0000, 0.4009).

This record from the Alexandria database describes a relaxed structure of Ac3NiTe2. The functional is PBE.

Its mass density is 7.86 g cm⁻³. Its raw total energy is -5.057 eV/atom.

It has space group I4/mmm (No. 139), with a = 4.663 Å, b = 4.663 Å, c = 19.333 Å, α = 90.00°, β = 90.00° and γ = 90.00°. The asymmetric unit holds Ac at (0.000, 0.000, 0.000), Ac at (0.000, 0.000, 0.353), Ni at (0.000, 0.000, 0.500) and Te at (0.000, 0.000, 0.176).

This record from the Alexandria database describes a relaxed structure of Ac4Ni2Te. The functional is PBE.

Its mass density is 7.83 g cm⁻³. Its raw total energy is -4.983 eV/atom.

It has space group R-3m (No. 166, hexagonal axes), with a = 4.3350 Å, b = 4.3350 Å, c = 45.0999 Å, α = 90.00°, β = 90.00° and γ = 120.00°. The asymmetric unit holds Ac at (0.0000, 0.0000, 0.1245), Ac at (0.0000, 0.0000, 0.2814), Ni at (0.0000, 0.0000, 0.4241) and Te at (0.0000, 0.0000, 0.0000).

This record from the Alexandria database describes a relaxed structure of AcTh2Ni. The functional is PBE.

The calculation puts the relative energy among the computed polymorphs at 16.0 kJ per mole of atoms. Its mass density is 9.50 g cm⁻³. The calculation puts the formation energy at 0.1160 eV per atom.

It has space group R-3m (No. 166, hexagonal axes), with a = 3.7841 Å, b = 3.7841 Å, c = 31.7105 Å, α = 90.00°, β = 90.00° and γ = 120.00°. The asymmetric unit holds Ac at (0.0000, 0.0000, 0.0000), Th at (0.0000, 0.0000, 0.1131) and Ni at (0.0000, 0.0000, 0.5000).

This record from the Alexandria database describes a relaxed structure of AcThNi4. The functional is PBE.

The calculation puts the relative energy among the computed polymorphs at 0.0 kJ per mole of atoms. Its mass density is 9.82 g cm⁻³. The calculation puts the formation energy at -0.3294 eV per atom.

It has space group Pmmm (No. 47), with a = 3.952 Å, b = 4.154 Å, c = 7.147 Å, α = 90.00°, β = 90.00° and γ = 90.00°. The asymmetric unit holds Ac at (0.000, 0.000, 0.000), Th at (0.000, 0.500, 0.500), Ni at (0.500, 0.000, 0.340) and Ni at (0.500, 0.500, 0.179).

This record from the Alexandria database describes a relaxed structure of Ac2ThNi. The functional is PBE.

Its mass density is 8.91 g cm⁻³. The calculation puts the formation energy at 0.2570 eV per atom.

It has space group R-3m (No. 166, hexagonal axes), with a = 3.8290 Å, b = 3.8290 Å, c = 32.7881 Å, α = 90.00°, β = 90.00° and γ = 120.00°. The asymmetric unit holds Ac at (0.0000, 0.0000, 0.1103), Th at (0.0000, 0.0000, 0.0000) and Ni at (0.0000, 0.0000, 0.5000).